Crystalline TeRu2PtRh at its relaxed geometry. Source: Alexandria, functional PBE.

## Properties
* energy relative to the elements, uncorrected: 1.7606 eV/atom
* symmetry: P4/mmm, No. 123
* electronic total energy: -26.28 eV/f.u.
* total magnetization: 5.7 μB per formula unit

a b c (Å): 4.846 4.846 5.059
angles (deg): 90.00 90.00 90.00
Fractional positions:
Te (0.000, 0.000, 0.000)
Ru (0.000, 0.500, 0.500)
Ru (0.500, 0.000, 0.500)
Pt (0.000, 0.000, 0.500)
Rh (0.500, 0.500, 0.000)